Record 1
This record from the Alexandria database describes a relaxed TlSn2HPb crystal. The functional is PBE.

crystal system = tetragonal
final energy = -3.2490 eV per atom
energy relative to the lowest polymorph listed for this composition = 18 meV/atom

Unit cell a=4.7616 b=4.7616 c=5.3898 alpha=90.00 beta=90.00 gamma=90.00
With the nearest neighbours (Å) after each atom.
Space group P4/mmm (No. 123)
Unique sites:
Tl: 0.0000 0.0000 0.0000 [1 per cell]  4 Pb 3.37, 8 Sn 3.60
Sn: 0.0000 0.5000 0.5000 [2 per cell]  2 H 2.38
H: 0.5000 0.5000 0.5000 [1 per cell]  4 Sn 2.38
Pb: 0.5000 0.5000 0.0000 [1 per cell]  2 H 2.69

***

Record 2
This record from the Alexandria database describes a relaxed CePr7Er4 crystal. The functional is PBE.

crystal system = triclinic
final energy = -4.6633 eV per atom

Unit cell a=6.0707 b=7.1029 c=10.1545 alpha=110.43 beta=90.65 gamma=90.00
With the nearest neighbours (Å) after each atom.
Space group P-1 (No. 2)
Unique sites:
Ce: 0.0000 0.0000 0.0000 [1 per cell]  2 Pr 3.04
Pr: 0.2438 0.8137 0.6276 [2 per cell]  5 Pr 3.58-3.85, 6 Er 3.64-3.77, 1 Ce 3.86
Pr: 0.2465 0.4638 0.9277 [2 per cell]  3 Pr 3.31-3.36, 2 Er 3.67-3.68
Pr: 0.2651 0.2884 0.5767 [2 per cell]  5 Pr 3.34-3.63, 4 Er 3.46-3.70
Pr: 0.5000 0.0000 0.0000 [1 per cell]  2 Ce 3.04
Er: 0.2423 0.4015 0.2719 [2 per cell]  1 Er 3.33, 5 Pr 3.46-3.70, 1 Ce 3.51
Er: 0.2423 0.8709 0.2721 [2 per cell]  1 Er 3.33, 5 Pr 3.46-3.70, 1 Ce 3.51

***

Record 3
This record from the Alexandria database describes a relaxed Cu2RuCl crystal. The functional is PBE.

crystal system = trigonal
final energy = -4.4394 eV per atom
energy relative to the lowest polymorph listed for this composition = 74 meV/atom
ΔE_f (raw) = 0.389 eV/atom

Unit cell a=2.8623 b=2.8623 c=24.0165 alpha=90.00 beta=90.00 gamma=120.00
With the nearest neighbours (Å) after each atom.
Space group R3m (No. 160, hexagonal axes)
Unique sites:
Cu: 0.0000 0.0000 0.0000 [3 per cell]  3 Cu 2.51, 3 Ru 2.61
Cu: 0.0000 0.0000 0.2547 [3 per cell]  3 Cu 2.51, 3 Cl 2.74
Ru: 0.0000 0.0000 0.7510 [3 per cell]  3 Cl 2.53, 3 Cu 2.61
Cl: 0.0000 0.0000 0.4972 [3 per cell]  3 Ru 2.53, 3 Cu 2.74

***

Record 4
This record from the Alexandria database describes a relaxed Pm2HoHgN crystal. The functional is PBE.

crystal system = tetragonal
final energy = -5.3806 eV per atom
ΔE_f (raw) = -0.839 eV/atom

Unit cell a=4.9931 b=4.9931 c=4.7477 alpha=90.00 beta=90.00 gamma=90.00
With the nearest neighbours (Å) after each atom.
Space group P4/mmm (No. 123)
Unique sites:
Pm: 0.0000 0.5000 0.0000 [2 per cell]  2 N 2.50
Ho: 0.0000 0.0000 0.5000 [1 per cell]  2 N 2.37
Hg: 0.5000 0.5000 0.5000 [1 per cell]  8 Pm 3.44, 4 Ho 3.53
N: 0.0000 0.0000 0.0000 [1 per cell]  2 Ho 2.37, 4 Pm 2.50

***

Record 5
This record from the Alexandria database describes a relaxed CrBSe2N crystal. The functional is PBE.

crystal system = tetragonal
final energy = -5.3704 eV per atom
energy relative to the lowest polymorph listed for this composition = 650 meV/atom
ΔE_f (raw) = 0.949 eV/atom

Unit cell a=4.8719 b=4.8719 c=3.4844 alpha=90.00 beta=90.00 gamma=90.00
With the nearest neighbours (Å) after each atom.
Space group P4/mmm (No. 123)
Unique sites:
Cr: 0.0000 0.0000 0.0000 [1 per cell]  2 N 1.74
B: 0.5000 0.5000 0.5000 [1 per cell]  8 Se 2.99
Se: 0.0000 0.5000 0.0000 [2 per cell]  2 Cr 2.44
N: 0.0000 0.0000 0.5000 [1 per cell]  2 Cr 1.74

***

Record 6
This record from the Alexandria database describes a relaxed SrMg2Ru crystal. The functional is PBE.

crystal system = cubic
final energy = -3.2668 eV per atom

Unit cell a=7.0490 b=7.0490 c=7.0490 alpha=90.00 beta=90.00 gamma=90.00
With the nearest neighbours (Å) after each atom.
Space group Fm-3m (No. 225)
Unique sites:
Sr: 0.0000 0.0000 0.0000 [4 per cell]  8 Mg 3.05
Mg: 0.2500 0.2500 0.2500 [8 per cell]  4 Ru 3.05, 4 Sr 3.05
Ru: 0.0000 0.0000 0.5000 [4 per cell]  8 Mg 3.05

***

Record 7
This record from the Alexandria database describes a relaxed Pu2MnS6 crystal. The functional is PBE.

crystal system = hexagonal
final energy = -7.9192 eV per atom
ΔE_f (raw) = -0.964 eV/atom

Unit cell a=7.2481 b=7.2481 c=3.6097 alpha=90.00 beta=90.00 gamma=120.00
With the nearest neighbours (Å) after each atom.
Space group P-62m (No. 189)
Unique sites:
Pu: 0.3333 0.6667 0.0000 [2 per cell]  9 S 2.79-2.88
Mn: 0.0000 0.0000 0.5000 [1 per cell]  6 S 2.44
S: 0.0000 0.4449 0.5000 [3 per cell]  4 Pu 2.79, 2 S 2.99
S: 0.0000 0.7732 0.0000 [3 per cell]  2 Mn 2.44

***

Record 8
This record from the Alexandria database describes a relaxed YMgAl4 crystal. The functional is PBE.

crystal system = orthorhombic
final energy = -4.1070 eV per atom
energy relative to the lowest polymorph listed for this composition = 0 meV/atom

Unit cell a=4.4763 b=6.5851 c=8.1571 alpha=90.00 beta=90.00 gamma=90.00
With the nearest neighbours (Å) after each atom.
Space group Immm (No. 71)
Unique sites:
Y: 0.0000 0.0000 0.0000 [2 per cell]  12 Al 3.10-3.19, 2 Mg 3.29
Mg: 0.0000 0.5000 0.0000 [2 per cell]  12 Al 2.99-3.30, 2 Y 3.29
Al: 0.0000 0.2213 0.3358 [8 per cell]  4 Al 2.67-2.91

***

Record 9
This record from the Alexandria database describes a relaxed LiMnN2 crystal. The functional is PBE.

crystal system = trigonal
final energy = -6.8408 eV per atom
energy relative to the lowest polymorph listed for this composition = 436 meV/atom
ΔE_f (raw) = 0.093 eV/atom

Unit cell a=2.7427 b=2.7427 c=17.8808 alpha=90.00 beta=90.00 gamma=120.00
With the nearest neighbours (Å) after each atom.
Space group R-3m (No. 166, hexagonal axes)
Unique sites:
Li: 0.0000 0.0000 0.0000 [3 per cell]  2 N 1.85
Mn: 0.0000 0.0000 0.5000 [3 per cell]  6 N 1.94
N: 0.0000 0.0000 0.1037 [6 per cell]  1 Li 1.85, 3 Mn 1.94

***

Record 10
This record from the Alexandria database describes a relaxed Ta2OF8 crystal. The functional is PBE.

crystal system = monoclinic
final energy = -7.0829 eV per atom
ΔE_f (raw) = -3.116 eV/atom

Unit cell a=11.5207 b=9.0840 c=4.1193 alpha=90.00 beta=99.24 gamma=90.00
With the nearest neighbours (Å) after each atom.
Space group C2/m (No. 12)
Unique sites:
Ta: 0.1676 0.0000 0.1427 [4 per cell]  5 F 1.88-2.08, 1 O 1.93
O: 0.0000 0.0000 0.0000 [2 per cell]  2 Ta 1.93
F: 0.1651 0.2043 0.2252 [8 per cell]  1 Ta 1.89
F: 0.1684 0.0000 0.6468 [4 per cell]  2 Ta 2.04-2.08
F: 0.1685 0.5000 0.8507 [4 per cell]  1 Ta 1.88

***

Record 11
This record from the Alexandria database describes a relaxed GaReAu2 crystal. The functional is PBE.

crystal system = trigonal
final energy = -5.0291 eV per atom

Unit cell a=2.7906 b=2.7906 c=31.2791 alpha=90.00 beta=90.00 gamma=120.00
With the nearest neighbours (Å) after each atom.
Space group R-3m (No. 166, hexagonal axes)
Unique sites:
Ga: 0.0000 0.0000 0.0000 [3 per cell]  6 Ga 2.79, 6 Au 2.93
Re: 0.0000 0.0000 0.5000 [3 per cell]  2 Au 2.76, 6 Re 2.79
Au: 0.0000 0.0000 0.4118 [6 per cell]  1 Re 2.76, 6 Au 2.79, 3 Ga 2.93

***

Record 12
This record from the Alexandria database describes a relaxed Dy3YIr4 crystal. The functional is PBE.

crystal system = orthorhombic
final energy = -7.7752 eV per atom

Unit cell a=3.5854 b=4.7376 c=9.4748 alpha=90.00 beta=90.00 gamma=90.00
With the nearest neighbours (Å) after each atom.
Space group Pmmm (No. 47)
Unique sites:
Dy: 0.0000 0.0000 0.0000 [1 per cell]  8 Ir 2.96-2.97
Dy: 0.0000 0.5000 0.2499 [2 per cell]  8 Ir 2.97
Y: 0.0000 0.0000 0.5000 [1 per cell]  8 Ir 2.97-2.98
Ir: 0.5000 0.0000 0.2488 [2 per cell]  6 Dy 2.96-2.97, 2 Y 2.98
Ir: 0.5000 0.5000 0.0000 [1 per cell]  8 Dy 2.97
Ir: 0.5000 0.5000 0.5000 [1 per cell]  4 Y 2.97, 4 Dy 2.97

***

Record 13
This record from the Alexandria database describes a relaxed RbAc2Zn crystal. The functional is PBE.

crystal system = trigonal
final energy = -2.4783 eV per atom

Unit cell a=4.0927 b=4.0927 c=38.5674 alpha=90.00 beta=90.00 gamma=120.00
With the nearest neighbours (Å) after each atom.
Space group R-3m (No. 166, hexagonal axes)
Unique sites:
Rb: 0.0000 0.0000 0.0000 [3 per cell]  6 Rb 4.09, 2 Ac 4.25
Ac: 0.0000 0.0000 0.1102 [6 per cell]  3 Zn 3.21
Zn: 0.0000 0.0000 0.5000 [3 per cell]  6 Ac 3.21